A plane-wave DFT calculation with PBE was carried out for a relaxed TlAgGe crystal.

The calculation puts the magnetic moment at 0.000 μB per atom. The density of states at the Fermi level is 0.34 states/eV/atom. For the formation energy, the calculation gives 49.0 kJ/mol of formula units. For the total energy, the calculation gives -18.65 eV/cell.

```
TlAgGe
1.0
7.9859 0.0653 0.0623
-1.4743 4.2963 -0.0151
-1.4062 -0.4064 4.3047
Tl Ag Ge
2 2 2
Direct
0.3082 0.2081 0.7537
0.0088 0.5768 0.1140
0.6585 0.3924 0.4335
0.6585 0.8927 0.9340
0.8635 0.0042 0.5406
0.4535 0.7807 0.3273
```

***

A plane-wave DFT calculation with PBE was carried out for a relaxed Li2Zn4Au crystal.

The calculation puts the magnetic moment at 0.000 μB per atom. The density of states at the Fermi level is 0.33 states/eV/atom. For the formation energy, the calculation gives -61.3 kJ/mol of formula units. For the total energy, the calculation gives -12.84 eV/cell.

```
Li2Zn4Au
1.0
-5.8439 -2.6314 0.1978
0.2299 -0.0886 6.4073
1.7100 3.8021 -3.2293
Zn Au Li
4 1 2
Direct
0.7017 0.7017 0.0002
0.2985 0.2985 0.0002
0.7002 0.2999 0.0002
0.2999 0.7002 0.0001
0.9996 0.9996 0.9992
0.7501 0.2501 0.5001
0.2501 0.7501 0.5001
```

***

A plane-wave DFT calculation with PBE was carried out for a relaxed PrTmZr crystal.

The calculation puts the magnetic moment at 0.000 μB per atom. The density of states at the Fermi level is 1.57 states/eV/atom. For the formation energy, the calculation gives 30.2 kJ/mol of formula units. For the total energy, the calculation gives -17.49 eV/cell.

```
PrTmZr
1.0
-3.2786 0.2483 -0.8670
0.5109 -2.1824 -2.5570
-0.2722 -4.8172 6.3181
Zr Tm Pr
1 1 1
Direct
0.3273 0.3273 0.6545
0.6807 0.6807 0.3614
0.9920 0.9920 0.9840
```

***

A plane-wave DFT calculation with PBE was carried out for a relaxed Si2AsIr crystal.

The calculation puts the magnetic moment at 0.000 μB per atom. The calculation puts the formation energy from raw total energies at 266 meV per atom. The density of states at the Fermi level is 0.53 states/eV/atom. For the total energy, the calculation gives -23.29 eV/cell.

```
Si2AsIr
1.0
4.5382 -0.0088 0.0000
-1.1419 4.3922 0.0000
0.0000 0.0000 2.9948
Si Ir As
2 1 1
Direct
0.0000 0.0000 0.0000
0.5000 0.5000 0.0000
0.0000 0.5000 0.5000
0.5000 0.0000 0.5000
```

***

A plane-wave DFT calculation with PBE was carried out for a relaxed TeAsAu2 crystal.

The calculation puts the magnetic moment at 0.000 μB per atom. The calculation puts the formation energy from raw total energies at 301 meV per atom. The density of states at the Fermi level is 0.70 states/eV/atom. For the total energy, the calculation gives -13.14 eV/cell.

```
TeAsAu2
1.0
-0.6705 -2.0175 -2.7061
3.2418 -0.2018 1.1369
-2.1739 -6.1320 5.1103
Te Au As
1 2 1
Direct
0.5000 0.5000 0.2500
0.0000 0.0000 0.9812
0.0000 0.0000 0.5188
0.5000 0.5000 0.7500
```

***

A plane-wave DFT calculation with PBE was carried out for a relaxed Na2BiPbSe4 crystal.

The calculation puts the magnetic moment at 0.000 μB per atom. The calculation puts the formation energy from raw total energies at -681 meV per atom. The density of states at the Fermi level is 0.38 states/eV/atom. For the total energy, the calculation gives -29.61 eV/cell.

```
Na2BiPbSe4
1.0
4.2024 0.0000 0.0000
0.0000 7.2970 0.1201
0.0000 -2.5601 7.1212
Pb Bi Se Na
1 1 4 2
Direct
0.5000 0.5000 0.0000
0.0000 0.0000 0.0000
0.5000 0.2434 0.2405
0.0000 0.7516 0.2423
0.0000 0.2484 0.7577
0.5000 0.7566 0.7595
0.0000 0.5000 0.5000
0.5000 0.0000 0.5000
```

***

A plane-wave DFT calculation with PBE was carried out for a relaxed ZrUSb3 crystal.

The calculation puts the magnetic moment at 0.540 μB per atom. The calculation puts the formation energy from raw total energies at -374 meV per atom. The density of states at the Fermi level is 1.37 states/eV/atom. For the total energy, the calculation gives -136.30 eV/cell.

```
ZrUSb3
1.0
-0.6923 -6.3114 0.3516
3.4306 -0.0800 5.3193
-10.8905 1.5872 7.0475
U Sb Zr
4 12 4
Direct
0.7500 0.4922 0.6815
0.2500 0.5078 0.3185
0.7500 0.9922 0.3185
0.2500 0.0078 0.6815
0.0000 0.7500 0.5020
0.2500 0.0069 0.2523
0.0000 0.2500 0.4980
0.2500 0.6316 0.0843
0.7500 0.9931 0.7477
0.5000 0.2500 0.4980
0.5000 0.7500 0.5020
0.2500 0.1316 0.9157
0.7500 0.8684 0.0843
0.7500 0.3684 0.9157
0.7500 0.4931 0.2523
0.2500 0.5069 0.7477
0.0000 0.2500 0.0951
0.0000 0.7500 0.9049
0.5000 0.2500 0.0951
0.5000 0.7500 0.9049
```

***

A plane-wave DFT calculation with PBE was carried out for a relaxed Ho5Sc2Ge4 crystal.

The calculation puts the magnetic moment at 0.000 μB per atom. The density of states at the Fermi level is 0.90 states/eV/atom. For the formation energy, the calculation gives -574.7 kJ/mol of formula units. For the total energy, the calculation gives -59.98 eV/cell.

```
Ho5Sc2Ge4
1.0
4.1347 0.0000 0.0000
0.0000 7.0727 -0.5595
-2.0674 -2.7897 9.8485
Ho Ge Sc
5 4 2
Direct
0.1645 0.9270 0.3291
0.1643 0.4008 0.3286
0.8355 0.0730 0.6709
0.8357 0.5992 0.6714
0.5000 0.0000 0.0000
0.7116 0.7113 0.4231
0.9998 0.2966 0.9995
0.2884 0.2887 0.5769
0.0002 0.7034 0.0005
0.5726 0.5720 0.1452
0.4274 0.4280 0.8548
```